[1]
5
Lattice="3.218 0.000 0.000 0.000 3.218 0.000 -1.609 -1.609 7.678" Properties=species:S:1:pos:R:3 comment="Na2ReRu2 PBEsol relaxed" e_form_ev_per_atom=1.1075 total_magnetization_mub_per_fu=0.00 mass_density_g_cm3=9.07 pbc="T T T"
Na 0.000 1.609 3.839
Ru 0.000 0.000 6.349
Na 1.609 0.000 3.839
Re 0.000 0.000 0.000
Ru 1.609 1.609 1.329


[2]
4
Lattice="4.562 0.000 0.000 2.281 3.950 0.000 2.281 1.317 3.724" Properties=species:S:1:pos:R:3 comment="Na2ReRu PBEsol relaxed" e_form_ev_per_atom=1.9871 total_magnetization_mub_per_fu=3.03 mass_density_g_cm3=8.25 pbc="T T T"
Re 4.562 2.634 1.862
Na 6.842 3.950 2.793
Ru 0.000 0.000 0.000
Na 2.281 1.317 0.931


[3]
5
Lattice="-4.920 1.139 1.199 -1.341 -4.951 -0.797 0.969 -1.065 4.987" Properties=species:S:1:pos:R:3 comment="Na3ReRu PBEsol relaxed" e_form_ev_per_atom=2.3797 total_magnetization_mub_per_fu=6.05 mass_density_g_cm3=4.23 pbc="T T T"
Ru 0.000 0.000 0.000
Re -2.646 -2.438 2.695
Na -2.460 0.570 0.600
Na 0.485 -0.532 2.493
Na -0.670 -2.475 -0.398


What did the first record say?
5
Lattice="3.218 0.000 0.000 0.000 3.218 0.000 -1.609 -1.609 7.678" Properties=species:S:1:pos:R:3 comment="Na2ReRu2 PBEsol relaxed" e_form_ev_per_atom=1.1075 total_magnetization_mub_per_fu=0.00 mass_density_g_cm3=9.07 pbc="T T T"
Na 0.000 1.609 3.839
Ru 0.000 0.000 6.349
Na 1.609 0.000 3.839
Re 0.000 0.000 0.000
Ru 1.609 1.609 1.329